AlSnRh2 PBE optimized geometry; space group = No. 122; ΔE_f = -0.12 eV per atom; E_tot = -5.7359 eV per atom
1.0
4.1572 0.0000 0.0000
0.0000 4.1572 0.0000
2.0786 2.0786 8.4319
Rh Sn Al
4 2 2
Cartesian
2.9851 1.0393 2.1080
1.1720 3.1179 2.1080
3.1179 3.2506 6.3239
5.1965 5.0637 6.3239
0.0000 0.0000 0.0000
4.1572 2.0786 4.2160
2.0786 2.0786 0.0000
2.0786 4.1572 4.2160